# Ca3MnO4 SCAN single point on PBEsol structure
data_Ca3MnO4
_space_group_name_H-M_alt 'C 1 2/m 1'
_space_group_IT_number 12
_cell_length_a 10.910
_cell_length_b 3.310
_cell_length_c 5.746
_cell_angle_alpha 90.00
_cell_angle_beta 99.49
_cell_angle_gamma 90.00
loop_
_space_group_symop_operation_xyz
'x,y,z'
'-x,-y,-z'
'-x,y,-z'
'x,-y,z'
'x+1/2,y+1/2,z'
'-x+1/2,-y+1/2,-z'
'-x+1/2,y+1/2,-z'
'x+1/2,-y+1/2,z'
loop_
_atom_site_label
_atom_site_fract_x
_atom_site_fract_y
_atom_site_fract_z
Ca1 0.000 0.000 0.000
Ca2 0.249 0.000 0.746
Mn1 0.000 0.500 0.500
O1 0.118 0.000 0.383
O2 0.126 0.500 0.872
# **Total energy**: -0.4380 Ha/atom
# **Formation energy (no corrections)**: -2897 meV/atom
# **Fermi-level density of states**: 0.0 states/eV per cell